VASP calculation (PBE) on a relaxed structure of CuNiIr2.

Calculated values
The energy above the most stable polymorph in this dataset is 28 meV/atom. The total energy is -27.3 eV for the cell shown. The space group is No. 166.

Unit cell a=8.616 b=8.616 c=8.616 alpha=17.95 beta=17.95 gamma=17.95
Fractional positions:
Cu (0.000, 0.000, 0.000)
Ni (0.500, 0.500, 0.500)
Ir (0.248, 0.248, 0.248)
Ir (0.752, 0.752, 0.752)

VASP calculation (PBE) on a relaxed structure of CuNiIr4.

Calculated values
The total energy is -41.3 eV for the cell shown. The space group is No. 216.

Unit cell a=5.123 b=5.123 c=5.123 alpha=60.00 beta=60.00 gamma=60.00
Fractional positions:
Cu (0.000, 0.000, 0.000)
Ni (0.250, 0.250, 0.250)
Ir (0.125, 0.625, 0.625)
Ir (0.625, 0.125, 0.625)
Ir (0.625, 0.625, 0.125)
Ir (0.625, 0.625, 0.625)

VASP calculation (PBE) on a relaxed structure of CuNiIr2.

Calculated values
The energy above the most stable polymorph in this dataset is 100 meV/atom. The total energy is -27.0 eV for the cell shown. The space group is No. 139.

Unit cell a=4.517 b=4.517 c=4.517 alpha=130.30 beta=130.30 gamma=72.92
Fractional positions:
Cu (0.000, 0.000, 0.000)
Ni (0.500, 0.500, 0.000)
Ir (0.250, 0.750, 0.500)
Ir (0.750, 0.250, 0.500)

VASP calculation (PBE) on a relaxed structure of CuNiIr2.

Calculated values
The energy above the most stable polymorph in this dataset is 0 meV/atom. The total energy is -27.4 eV for the cell shown. The space group is No. 99.

Unit cell a=2.719 b=2.719 c=7.084 alpha=90.00 beta=90.00 gamma=90.00
Fractional positions:
Cu (0.000, 0.000, 0.000)
Ni (0.500, 0.500, 0.770)
Ir (0.000, 0.000, 0.525)
Ir (0.500, 0.500, 0.261)

VASP calculation (PBE) on a relaxed structure of CuNiIr2.

Calculated values
The energy above the most stable polymorph in this dataset is 108 meV/atom. The total energy is -27.0 eV for the cell shown. The space group is No. 44.

Unit cell a=5.002 b=5.002 c=5.002 alpha=147.30 beta=128.94 gamma=61.97
Fractional positions:
Cu (0.000, 0.000, 0.000)
Ni (0.233, 0.733, 0.500)
Ir (0.481, 0.481, 0.000)
Ir (0.742, 0.242, 0.500)

VASP calculation (PBE) on a relaxed structure of CuNiIr2.

Calculated values
The energy above the most stable polymorph in this dataset is 2 meV/atom. The total energy is -27.4 eV for the cell shown. The space group is No. 119.

Unit cell a=4.591 b=4.591 c=4.591 alpha=132.15 beta=132.15 gamma=69.99
Fractional positions:
Cu (0.000, 0.000, 0.000)
Ni (0.750, 0.250, 0.500)
Ir (0.250, 0.750, 0.500)
Ir (0.500, 0.500, 0.000)

VASP calculation (PBE) on a relaxed structure of CuNiIr2.

Calculated values
The energy above the most stable polymorph in this dataset is 621 meV/atom. The total energy is -49.8 eV for the cell shown. The space group is No. 122.

Unit cell a=5.539 b=5.539 c=5.539 alpha=100.84 beta=100.84 gamma=128.61
Fractional positions:
Cu (0.000, 0.000, 0.000)
Cu (0.750, 0.250, 0.500)
Ni (0.250, 0.750, 0.500)
Ni (0.500, 0.500, 0.000)
Ir (0.173, 0.625, 0.048)
Ir (0.375, 0.423, 0.548)
Ir (0.577, 0.125, 0.952)
Ir (0.875, 0.827, 0.452)

VASP calculation (PBE) on a relaxed structure of CuNiIr2.

Calculated values
The energy above the most stable polymorph in this dataset is 211 meV/atom. The total energy is -26.5 eV for the cell shown. The space group is No. 216.

Unit cell a=4.230 b=4.230 c=4.230 alpha=60.00 beta=60.00 gamma=60.00
Fractional positions:
Cu (0.000, 0.000, 0.000)
Ni (0.750, 0.750, 0.750)
Ir (0.250, 0.250, 0.250)
Ir (0.500, 0.500, 0.500)

Here are the calculated spin magnetization numbers, same order: 1.09 3.63 0.00 0.00 0.00 0.00 0.01 0.00 (μB/cell).
Here are the calculated ΔH_f (0 K) numbers, same order: 31 392 59 20 62 21 260 102 (kJ/mol of formula units).
Here are the calculated density of states at the Fermi level numbers, same order: 5.779 11.824 5.411 4.127 4.932 3.803 12.116 4.795 (states/eV per cell).